1.
Density functional theory data (GGA-PBEsol) for an optimized crystal structure of Ca2Tl2O5.

The value obtained for the formation energy without anion corrections is -1.75 eV/atom. For the volume, the calculation gives 504 Å³/cell. The total DFT energy (no corrections) is -0.2102 hartree per atom.

The space group is Cmc2_1 (No. 36) and the conventional cell measures 3.353, 11.199 and 13.412 Å, with angles of 90.00, 90.00 and 90.00 degrees. The distinct sites, in fractional coordinates, are Ca at (0.000, 0.029, 0.000), Ca at (0.000, 0.216, 0.352), Tl at (0.000, 0.239, 0.625), Tl at (0.000, 0.488, 0.244), O at (0.000, 0.125, 0.185), O at (0.000, 0.161, 0.778), O at (0.000, 0.330, 0.489), O at (0.000, 0.409, 0.096) and O at (0.000, 0.428, 0.886).

---

2.
Density functional theory data (GGA-PBEsol) for an optimized crystal structure of CaTm2O4.

The energy above the most stable polymorph in this dataset comes out at 0.03 kcal/mol of atoms. The value obtained for the formation energy without anion corrections is -3.48 eV/atom. For the volume, the calculation gives 834 Å³/cell. The total DFT energy (no corrections) is -0.3008 hartree per atom.

The space group is Fd-3m (No. 227, origin choice 2) and the conventional cell measures 9.414, 9.414 and 9.414 Å, with angles of 90.00, 90.00 and 90.00 degrees. The distinct sites, in fractional coordinates, are Ca at (0.125, 0.125, 0.125), Tm at (0.000, 0.000, 0.500) and O at (0.014, 0.014, 0.736).